[1]
CeTePbO6, optimized geometry, DFT PBE; uncorrected formation energy = -1.8083 eV per atom; total moment = 0.000 Bohr magnetons per cell; space-group type = P-31c
1.0
5.749 0.000 0.000
-2.874 4.978 0.000
0.000 0.000 10.302
Ce Te Pb O
2 2 2 12
Cartesian
0.000 3.319 2.575
2.874 1.659 7.726
0.000 3.319 7.726
2.874 1.659 2.575
0.000 0.000 0.000
0.000 0.000 5.151
-0.892 1.953 6.635
-1.629 3.229 8.818
0.892 1.953 8.818
-0.737 4.774 6.635
2.137 0.204 1.484
1.245 1.749 3.667
1.629 3.229 6.635
0.737 4.774 8.818
3.611 0.204 3.667
1.982 3.025 1.484
4.503 1.749 1.484
3.766 3.025 3.667

[2]
CeTePbO5, optimized geometry, DFT PBE; uncorrected formation energy = -1.8533 eV per atom; total moment = 0.000 Bohr magnetons per cell; space-group type = C2/c
1.0
4.045 -4.959 0.000
4.045 4.959 0.000
-3.407 0.000 7.307
Ce Te Pb O
2 2 2 10
Cartesian
2.023 2.479 0.000
0.319 -2.479 3.653
1.490 4.654 5.480
3.194 -4.654 1.827
1.490 0.428 5.480
3.194 -0.428 1.827
0.604 3.365 6.559
2.376 3.365 4.401
-0.863 0.312 6.733
3.194 1.943 1.827
0.841 -0.312 3.079
3.843 0.312 4.228
1.490 -1.943 5.480
5.547 -0.312 0.574
2.307 -3.365 2.906
4.080 -3.365 0.748

[3]
CeTmPbO2, optimized geometry, DFT PBE; uncorrected formation energy = -2.5208 eV per atom; total moment = 1.287 Bohr magnetons per cell; space-group type = I4mm
1.0
3.886 0.000 0.000
0.000 3.886 0.000
0.000 0.000 13.725
Ce Tm Pb O
2 2 2 4
Cartesian
0.000 0.000 0.000
1.943 1.943 6.862
0.000 0.000 9.163
1.943 1.943 2.300
0.000 0.000 4.568
1.943 1.943 11.430
0.000 1.943 1.223
0.000 1.943 8.086
1.943 0.000 1.223
1.943 0.000 8.086